68
Lattice="7.518 0.000 0.000 0.000 19.197 0.000 -4.804 0.000 15.077" Properties=species:S:1:pos:R:3 comment="Cs2SnS14 | the Alexandria database | PBE | optimized geometry" rho_g_cm3=2.54 sg="P2_1/c (14)" formation_energy_uncorrected_ev_per_fu=-5.8 crystal_system=monoclinic pbc="T T T"
Cs -2.106 4.023 7.396
Cs -4.509 5.576 14.934
Cs -0.563 10.567 10.075
Cs 1.839 18.228 2.537
Cs 0.874 0.969 12.540
Cs 3.277 8.630 5.001
Cs 7.222 13.621 0.143
Cs 4.820 15.174 7.681
Sn 1.185 12.992 4.954
Sn -1.217 15.804 12.493
Sn 3.931 3.393 2.584
Sn 1.529 6.205 10.122
S -1.159 13.923 4.145
S -3.561 14.872 11.683
S -0.655 10.187 2.986
S -3.057 18.608 10.524
S -3.263 12.854 11.413
S -0.861 15.941 3.875
S -1.594 0.552 9.599
S 0.808 9.047 2.060
S -0.013 10.639 4.867
S -2.415 18.156 12.405
S -2.730 1.863 14.804
S -0.327 7.735 7.266
S -2.081 12.301 13.027
S 0.321 16.494 5.489
S 1.595 2.570 1.604
S -0.808 7.028 9.142
S 1.954 10.337 0.886
S -0.448 18.458 8.424
S 0.163 12.859 7.386
S -2.239 15.936 14.925
S -1.519 3.361 14.025
S 0.883 6.237 6.486
S 2.446 13.131 2.653
S 0.044 15.664 10.191
S 1.846 1.744 5.411
S -0.556 7.854 12.950
S -0.335 13.326 12.684
S 2.067 15.469 5.145
S 0.646 3.728 9.931
S 3.048 5.871 2.393
S 3.269 11.343 2.127
S 0.867 17.452 9.665
S 2.669 3.533 4.885
S 0.267 6.066 12.424
S 1.830 12.959 8.590
S 4.233 15.836 1.052
S 4.953 3.260 0.152
S 2.550 6.338 7.690
S 3.161 0.739 6.653
S 0.759 8.860 14.191
S 3.521 12.168 5.934
S 1.119 16.627 13.472
S 2.392 2.702 9.587
S 4.794 6.896 2.049
S 3.041 11.462 7.811
S 5.443 17.333 0.273
S 5.128 1.041 2.671
S 2.726 8.558 10.210
S 1.906 10.150 13.016
S 4.308 18.645 5.478
S 3.574 3.256 11.202
S 5.977 6.342 3.663
S 5.770 0.589 4.552
S 3.368 9.010 12.091
S 6.275 4.325 3.393
S 3.873 5.273 10.932